Material: Ba2Hg4Sb2Pb
Method: DFT, PBE
State: relaxed

Structure (POSCAR):
```
Ba2Hg4Sb2Pb
1.0
7.627 -0.262 -0.378
-3.891 6.566 0.378
-3.891 -1.953 6.280
Hg Pb Sb Ba
4 1 2 2
direct
0.000 0.710 0.290
0.581 0.290 0.290
0.000 0.290 0.710
0.419 0.710 0.710
0.000 0.000 0.000
0.000 0.716 0.716
0.000 0.284 0.284
0.500 0.250 0.750
0.500 0.750 0.250
```

The energy relative to the elements, uncorrected is -416 meV per atom. The space group is No. 139.

Material: BaHg2SbPb
Method: DFT, PBE
State: relaxed

Structure (POSCAR):
```
BaHg2SbPb
1.0
-3.034 3.009 -2.408
-3.496 -1.216 2.886
5.065 4.475 4.205
Sb Hg Pb Ba
1 2 1 1
direct
0.845 0.845 0.690
0.052 0.052 0.104
0.679 0.179 0.359
0.200 0.700 0.400
0.435 0.435 0.871
```

The energy relative to the elements, uncorrected is -352 meV per atom. The space group is No. 44.

Material: BaHgSb2Pb
Method: DFT, PBE
State: relaxed

Structure (POSCAR):
```
BaHgSb2Pb
1.0
4.948 0.000 0.000
2.474 8.568 -0.374
2.474 1.025 9.147
Sb Ba Pb Hg
4 2 2 2
direct
0.841 0.231 0.088
0.419 0.790 0.372
0.159 0.769 0.912
0.581 0.210 0.628
0.218 0.204 0.360
0.782 0.796 0.640
0.644 0.627 0.086
0.356 0.373 0.914
0.063 0.095 0.780
0.937 0.905 0.220
```

The energy relative to the elements, uncorrected is -344 meV per atom. The space group is No. 12.

Material: Ba3Hg2Sb4Pb2
Method: DFT, PBE
State: relaxed

Structure (POSCAR):
```
Ba3Hg2Sb4Pb2
1.0
5.220 0.000 0.000
-2.610 4.521 0.000
0.000 0.000 17.222
Ba Hg Pb Sb
3 2 2 4
direct
0.000 0.000 0.000
0.000 0.000 0.259
0.000 0.000 0.741
0.333 0.667 0.150
0.667 0.333 0.850
0.333 0.667 0.566
0.667 0.333 0.434
0.333 0.667 0.873
0.667 0.333 0.127
0.333 0.667 0.370
0.667 0.333 0.630
```

The energy relative to the elements, uncorrected is -542 meV per atom. The space group is No. 164.

Material: BaHgSbPb
Method: DFT, PBE
State: relaxed

Structure (POSCAR):
```
BaHgSbPb
1.0
5.728 0.000 0.000
2.864 4.961 0.000
2.864 1.654 4.677
Ba Hg Pb Sb
1 1 1 1
direct
0.250 0.250 0.250
0.500 0.500 0.500
0.750 0.750 0.750
0.000 0.000 0.000
```

The energy relative to the elements, uncorrected is -437 meV per atom. The space group is No. 216.

Material: BaSmHgPb
Method: DFT, PBE
State: relaxed

Structure (POSCAR):
```
BaSmHgPb
1.0
-4.054 -4.054 0.081
1.471 -5.515 0.551
-1.154 -2.803 4.867
Pb Sm Ba Hg
1 1 1 1
direct
0.250 0.250 0.250
0.000 0.000 0.000
0.500 0.500 0.500
0.750 0.750 0.750
```

The space group is No. 216. The value obtained for the energy is -12.32 eV for the cell shown.

Material: BaSm2Hg2Pb2
Method: DFT, PBE
State: relaxed

Structure (POSCAR):
```
BaSm2Hg2Pb2
1.0
5.231 0.000 0.000
2.615 4.530 0.000
2.615 1.510 9.719
Pb Hg Sm Ba
2 2 2 1
direct
0.742 0.742 0.774
0.258 0.258 0.226
0.442 0.442 0.675
0.558 0.558 0.325
0.135 0.135 0.595
0.865 0.865 0.405
0.000 0.000 0.000
```

The space group is No. 166. The value obtained for the energy is -21.75 eV for the cell shown.

Material: Ba2SnHg3Pb4
Method: DFT, PBE
State: relaxed

Structure (POSCAR):
```
Ba2SnHg3Pb4
1.0
-1.403 -5.175 -0.731
2.793 -0.103 -4.633
9.464 -3.381 5.780
Pb Ba Sn Hg
4 2 1 3
direct
0.000 0.000 0.000
0.500 0.500 0.000
0.500 0.000 0.623
0.000 0.500 0.377
0.500 0.000 0.261
0.000 0.500 0.739
0.500 0.500 0.500
0.000 0.000 0.500
0.000 0.500 0.125
0.500 0.000 0.875
```

The space group is No. 115. The value obtained for the energy is -26.45 eV for the cell shown.

| no. | magnetization (μB per formula unit) |
| --- | --- |
| 1 | 0.00 |
| 2 | 0.00 |
| 3 | 0.00 |
| 4 | 0.00 |
| 5 | 0.00 |
| 6 | 0.00 |
| 7 | 0.00 |
| 8 | 0.00 |